Record 1
Crystalline KBe2Ir at its relaxed geometry, computed with PBE.

## Properties
offset from the most stable computed form = 0.740 eV per atom
E_form = 0.670 eV per atom

```
KBe2Ir
1.0
9.392 0.007 0.004
8.974 2.773 0.004
8.974 1.358 2.417
Be K Ir
2 1 1
direct
0.980 0.980 0.980
0.247 0.247 0.247
0.753 0.753 0.753
0.520 0.520 0.520
```

=====

Record 2
Crystalline Bi2RuBrF at its relaxed geometry, computed with PBE.

## Properties
raw formation energy = 0.8356 eV per atom

```
Bi2RuBrF
1.0
-3.249 1.049 -4.530
-1.530 -4.244 0.115
-4.233 1.619 3.411
Br F Ru Bi
1 1 1 2
direct
0.000 0.000 0.000
0.500 0.500 0.500
0.000 0.500 0.000
0.000 0.000 0.500
0.500 0.000 0.000
```

=====

Record 3
Crystalline Li2CaCd10 at its relaxed geometry, computed with PBE.

## Properties
E_form = -0.172 eV per atom

```
Li2CaCd10
1.0
-1.221 -3.565 4.399
0.960 -7.439 -1.789
6.020 -1.504 4.424
Cd Li Ca
10 2 1
direct
0.489 0.227 0.792
0.991 0.357 0.663
0.511 0.773 0.208
0.009 0.643 0.337
0.000 0.000 0.500
0.354 0.643 0.663
0.646 0.357 0.337
0.500 0.000 0.500
0.717 0.772 0.792
0.283 0.228 0.208
0.000 0.500 0.000
0.500 0.500 0.000
0.000 0.000 0.000
```

=====

Record 4
Crystalline Ho4IrSeS2 at its relaxed geometry, computed with PBE.

## Properties
raw formation energy = -1.5921 eV per atom

```
Ho4IrSeS2
1.0
-3.925 -0.075 0.103
0.187 -0.187 6.976
-0.062 6.560 2.422
Ho S Ir Se
4 2 1 1
direct
0.000 0.742 0.767
0.500 0.754 0.233
0.000 0.258 0.233
0.500 0.246 0.767
0.500 0.000 0.500
0.000 0.000 0.000
0.500 0.500 0.000
0.000 0.500 0.500
```

=====

Record 5
Crystalline TaP2NO at its relaxed geometry, computed with PBE.

## Properties
raw formation energy = 0.6750 eV per atom
offset from the most stable computed form = 0.134 eV per atom

```
TaP2NO
1.0
-0.466 2.441 4.277
-0.446 -4.299 2.405
3.838 -0.125 0.489
N P Ta O
1 2 1 1
direct
0.500 0.500 0.500
0.000 0.500 0.000
0.500 0.000 0.000
0.000 0.000 0.000
0.000 0.000 0.500
```

=====

Record 6
Crystalline ThAlGa2Cu4 at its relaxed geometry, computed with PBE.

## Properties
E_form = -0.257 eV per atom

```
ThAlGa2Cu4
1.0
4.194 0.000 0.000
2.097 3.632 0.000
2.097 1.211 8.519
Cu Th Al Ga
4 1 1 2
direct
0.868 0.868 0.397
0.132 0.132 0.603
0.596 0.596 0.214
0.404 0.404 0.786
0.000 0.000 0.000
0.500 0.500 0.500
0.245 0.245 0.264
0.755 0.755 0.736
```

=====

Record 7
Crystalline ErMg7Sc3 at its relaxed geometry, computed with PBE.

## Properties
offset from the most stable computed form = 0.000 eV per atom
E_form = 0.151 eV per atom

```
ErMg7Sc3
1.0
3.170 0.000 0.000
-1.585 10.820 0.000
0.000 0.000 16.337
Mg Sc Er
14 6 2
direct
0.744 0.488 0.581
0.623 0.247 0.657
0.500 0.999 0.416
0.500 0.001 0.584
0.256 0.512 0.081
0.374 0.747 0.750
0.377 0.753 0.157
0.744 0.488 0.919
0.256 0.512 0.419
0.626 0.253 0.250
0.377 0.753 0.343
0.500 0.999 0.084
0.623 0.247 0.843
0.500 0.001 0.916
0.882 0.764 0.519
0.229 0.458 0.750
0.118 0.236 0.481
0.118 0.236 0.019
0.771 0.542 0.250
0.882 0.764 0.981
0.991 0.982 0.250
0.009 0.018 0.750
```

=====

Record 8
Crystalline CsCaNF2 at its relaxed geometry, computed with PBE.

## Properties
raw formation energy = -1.8417 eV per atom
offset from the most stable computed form = 0.000 eV per atom

```
CsCaNF2
1.0
-3.171 2.766 -1.776
-2.671 -3.607 -0.849
-2.114 0.495 4.545
Cs F N Ca
1 2 1 1
direct
0.500 0.500 0.500
0.500 0.000 0.000
0.000 0.500 0.000
0.000 0.000 0.500
0.000 0.000 0.000
```